Entry from the Alexandria database: a relaxed KNa3N8 crystal (PBE).

Cell lengths 5.649, 5.665, 5.933 Å; angles 97.28, 97.48, 95.70 degrees
Space group P1 (No. 1)
Asymmetric unit:
K 0.000 0.000 0.000 (multiplicity 1)
Na 0.096 0.496 0.562 (multiplicity 1)
Na 0.500 0.901 0.440 (multiplicity 1)
Na 0.562 0.440 0.003 (multiplicity 1)
N 0.092 0.053 0.484 (multiplicity 1)
N 0.093 0.494 0.970 (multiplicity 1)
N 0.164 0.568 0.167 (multiplicity 1)
N 0.434 0.833 0.836 (multiplicity 1)
N 0.507 0.906 0.033 (multiplicity 1)
N 0.592 0.392 0.599 (multiplicity 1)
N 0.603 0.405 0.405 (multiplicity 1)
N 0.944 0.903 0.517 (multiplicity 1)

Properties
Electronic total energy = -6.00 eV per atom

=====

Entry from the Alexandria database: a relaxed KNaN crystal (PBE).

Cell lengths 5.434, 4.120, 6.662 Å; angles 90.00, 107.01, 90.00 degrees
Space group P2_1/m (No. 11)
Asymmetric unit:
K 0.234 0.250 0.429 (multiplicity 2)
Na 0.303 0.250 0.934 (multiplicity 2)
N 0.322 0.750 0.749 (multiplicity 2)

Properties
Electronic total energy = -3.00 eV per atom
Distance to the lowest polymorph of the same formula = 0.596 eV per atom

=====

Entry from the Alexandria database: a relaxed KNaN crystal (PBE).

Cell lengths 3.668, 3.936, 12.791 Å; angles 95.81, 98.21, 90.24 degrees
Space group P1 (No. 1)
Asymmetric unit:
K 0.000 0.000 0.000 (multiplicity 1)
K 0.141 0.268 0.282 (multiplicity 1)
Na 0.367 0.417 0.740 (multiplicity 1)
Na 0.768 0.850 0.542 (multiplicity 1)
N 0.553 0.512 0.108 (multiplicity 1)
N 0.588 0.756 0.174 (multiplicity 1)

Properties
Electronic total energy = -3.59 eV per atom
Distance to the lowest polymorph of the same formula = 0.000 eV per atom